[1]
BaAcNd2 | PBE | optimized geometry

Cell lengths 3.8093, 3.8093, 13.6344 Å; angles 81.97, 81.97, 60.00 degrees
Closest atoms and distances in Å follow each position.
Atoms (fractional coordinates):
Ac 0.5000 0.5000 0.5000  6 Nd 3.75, 6 Ac 3.81
Nd 0.0914 0.0914 0.7257  1 Ba 3.69, 3 Ac 3.75, 6 Nd 3.81
Nd 0.9086 0.9086 0.2743  1 Ba 3.69, 3 Ac 3.75, 6 Nd 3.81
Ba 0.0000 0.0000 0.0000  2 Nd 3.69, 6 Ba 3.81

Properties
Total magnetic moment   0.000 μB per cell
Excess energy over the best structure of this formula in the dataset   8.2 kJ/mol of atoms
Calculated density   6.41 g/cm3


[2]
CaPr2Nd2 | PBE | optimized geometry

Cell lengths 3.7203, 3.7203, 15.4933 Å; angles 83.10, 83.10, 60.00 degrees
Closest atoms and distances in Å follow each position.
Atoms (fractional coordinates):
Ca 0.0000 0.0000 0.0000  6 Ca 3.72, 6 Pr 3.87
Pr 0.4032 0.4032 0.7904  3 Nd 3.64, 6 Pr 3.72, 3 Ca 3.87
Pr 0.5968 0.5968 0.2096  3 Nd 3.64, 6 Pr 3.72, 3 Ca 3.87
Nd 0.8004 0.8004 0.5988  3 Pr 3.64, 9 Nd 3.72
Nd 0.1996 0.1996 0.4012  3 Pr 3.64, 9 Nd 3.72

Properties
Total magnetic moment   0.000 μB per cell
Excess energy over the best structure of this formula in the dataset   0.0 kJ/mol of atoms
Calculated density   5.51 g/cm3


[3]
RbCaTa | PBE | optimized geometry

Cell lengths 6.0893, 6.0893, 2.9800 Å; angles 90.00, 90.00, 120.00 degrees
Closest atoms and distances in Å follow each position.
Atoms (fractional coordinates):
Ca 0.0000 0.0000 0.0000  2 Ca 2.98
Rb 0.6667 0.3333 0.5000  2 Rb 2.98
Ta 0.3333 0.6667 0.0000  2 Ta 2.98

Properties
Total magnetic moment   0.000 μB per cell
Excess energy over the best structure of this formula in the dataset   100.3 kJ/mol of atoms
Calculated density   5.32 g/cm3